[1]
A geometry-optimized ScMn3O6 structure. Source: Alexandria, functional PBE+U.

VASP energy in eV/atom: -7.7984
Space group: Cmmm, No. 65
Size of the total moment in μB per atom: 1.2004
DOS at the Fermi energy in states/eV per cell: 2.751

Structure (extended XYZ):
```
10
Lattice="-0.6360 1.3128 2.8978 -5.8855 -1.5524 -0.5885 3.1162 -4.5019 2.7235" Properties=species:S:1:pos:R:3 pbc="T T T"
Sc -1.3847 -3.0271 1.0675
Mn -3.2608 -0.1198 1.1547
Mn 0.0000 0.0000 0.0000
Mn 1.2401 -1.5945 2.8107
O 0.5851 -1.5816 0.8449
O -3.3544 -4.4727 1.2901
O -1.6909 -0.8359 0.0076
O -1.0785 -5.2184 2.1275
O -2.9997 -1.9457 2.0392
O -0.4057 -2.7957 2.9936
```

=====

[2]
A geometry-optimized Sc3Mn5O12 structure. Source: Alexandria, functional PBE+U.

VASP energy in eV/atom: -7.9292
Space group: Ia-3d, No. 230
Size of the total moment in μB per atom: 1.0000
DOS at the Fermi energy in states/eV per cell: 23.621

Structure (extended XYZ):
```
80
Lattice="10.6026 0.0000 0.0000 -3.5342 9.9962 0.0000 -3.5342 -4.9981 8.6570" Properties=species:S:1:pos:R:3 pbc="T T T"
Sc 6.1849 3.1238 1.0821
Sc 6.1849 6.8724 1.0821
Sc -0.8836 4.3734 5.4106
Sc 0.8836 -0.6248 3.2464
Sc 7.9520 0.0000 2.1642
Sc 0.8836 4.9981 2.1642
Sc 2.6507 0.0000 6.4927
Sc -4.4178 4.9981 6.4927
Sc 2.6507 5.6229 5.4106
Sc 4.4178 0.6248 3.2464
Sc -2.6507 -1.8743 7.5749
Sc -2.6507 1.8743 7.5749
Mn -0.8836 2.4991 2.1642
Mn -1.7671 4.9981 0.0000
Mn 0.0000 0.0000 0.0000
Mn 2.6507 1.8743 1.0821
Mn 3.5342 -2.4991 4.3285
Mn 3.5342 4.9981 0.0000
Mn -2.6507 5.6229 3.2464
Mn 4.4178 -3.1238 7.5749
Mn 4.4178 4.3734 3.2464
Mn 0.8836 -2.4991 6.4927
Mn 2.6507 7.4972 2.1642
Mn 1.7671 2.4991 4.3285
Mn 5.3013 0.0000 0.0000
Mn -1.7671 -2.4991 4.3285
Mn -0.8836 0.6248 5.4106
Mn -0.8836 8.1219 1.0821
Mn -3.5342 2.4991 4.3285
Mn 6.1849 -0.6248 5.4106
Mn 0.8836 3.1238 7.5749
Mn 4.4178 2.4991 6.4927
O 6.9091 1.1267 0.3439
O 0.1593 3.3602 3.5247
O 7.8547 2.2188 2.5186
O 4.5150 1.4273 1.1477
O 1.2408 3.7426 5.7946
O 7.4877 5.0798 1.4661
O -0.7863 5.7896 3.6662
O -2.7479 8.5689 1.1477
O 0.5263 6.2537 5.7946
O 4.8820 4.9164 1.4661
O 5.4606 2.7646 3.1808
O 5.4606 8.8696 0.3439
O -3.0079 4.3905 4.6724
O 2.1864 3.6876 0.6623
O -3.6935 7.2317 3.1808
O 1.9264 -1.6379 5.1323
O -0.5263 0.6479 1.8099
O 2.1864 6.2269 0.8038
O 4.5150 7.7774 2.5186
O -0.4193 3.7693 0.8038
O -2.2934 5.6460 6.8471
O 2.5534 4.2066 3.6662
O 4.7750 5.6058 4.6724
O 3.9535 -1.3105 7.9947
O 0.9808 0.7915 4.9908
O -1.2408 -0.6077 3.9846
O -0.4193 6.3086 0.6623
O -0.9808 -2.7793 6.1384
O 5.8276 -0.6479 1.8099
O 3.9535 1.2288 7.8532
O 1.3478 -1.2288 7.8532
O 1.6078 6.6360 3.5247
O 4.0605 4.3502 6.8471
O 7.2277 -2.2335 5.4762
O 6.5421 0.6077 3.9846
O -1.9264 -3.8714 8.3131
O 1.3478 1.3105 7.9947
O 3.0079 -1.2555 2.8624
O -1.3478 0.0817 7.1909
O -1.9264 2.2335 5.4762
O 6.2822 -3.5708 7.5093
O 4.3205 -0.7915 4.9908
O -0.9808 3.5708 7.5093
O -3.9535 -0.0817 7.1909
O 2.2934 1.2555 2.8624
O -4.3205 2.7793 6.1384
O 3.3749 1.6379 5.1323
O -3.3749 3.8714 8.3131
```

=====

[3]
A geometry-optimized Sc3MnO structure. Source: Alexandria, functional PBE+U.

Space group: Pm-3m, No. 221
Size of the total moment in μB per atom: 0.8057
Energy above the most stable polymorph in this dataset in meV per atom: 0
DOS at the Fermi energy in states/eV per cell: 2.983

Structure (extended XYZ):
```
5
Lattice="4.4660 0.0000 0.0000 0.0000 4.4660 0.0000 0.0000 0.0000 4.4660" Properties=species:S:1:pos:R:3 pbc="T T T"
Sc 0.0000 2.2330 0.0000
Sc 0.0000 0.0000 2.2330
Sc 2.2330 0.0000 0.0000
Mn 2.2330 2.2330 2.2330
O 0.0000 0.0000 0.0000
```

=====

[4]
A geometry-optimized ScMn2SiO6 structure. Source: Alexandria, functional PBE+U.

VASP energy in eV/atom: -7.6528
Space group: R3, No. 146
Size of the total moment in μB per atom: 0.3000
DOS at the Fermi energy in states/eV per cell: 0.000

Structure (extended XYZ):
```
10
Lattice="-2.0274 -1.8809 4.1507 2.4725 -3.4241 2.6531 2.1242 1.5830 4.7518" Properties=species:S:1:pos:R:3 pbc="T T T"
Sc 1.5565 -3.4198 8.2010
Mn 1.1463 -2.0955 5.6040
Mn 2.0747 1.4989 4.6896
Si 0.2077 -1.6676 2.3425
O -0.1473 -1.4866 4.0829
O 2.4360 -3.3739 4.5743
O -0.0441 -3.4521 6.6528
O 2.5701 -1.9219 7.2167
O 0.5309 -0.5018 6.9227
O 2.3971 -0.3705 5.2609
```

=====

[5]
A geometry-optimized ScMnSn2O structure. Source: Alexandria, functional PBE+U.

VASP energy in eV/atom: -4.7029
Space group: P4/mmm, No. 123
Size of the total moment in μB per atom: 0.1784
DOS at the Fermi energy in states/eV per cell: 3.011

Structure (extended XYZ):
```
5
Lattice="-3.2485 -2.5966 2.6001 0.2190 -3.5505 -3.2721 3.6679 -2.0814 2.5040" Properties=species:S:1:pos:R:3 pbc="T T T"
Sc 0.1095 -1.7753 -1.6361
Mn 0.0000 0.0000 0.0000
Sn 1.8340 -1.0407 1.2520
Sn -1.6243 -1.2983 1.3001
O 0.3192 -4.1143 0.9160
```

=====

[6]
A geometry-optimized SrSc2Mn2O7 structure. Source: Alexandria, functional PBE+U.

VASP energy in eV/atom: -7.8094
Space group: Imm2, No. 44
Size of the total moment in μB per atom: 0.6619
DOS at the Fermi energy in states/eV per cell: 0.600

Structure (extended XYZ):
```
12
Lattice="4.2363 0.0000 0.0000 0.0000 4.3070 0.0000 -2.1181 -2.1535 8.1678" Properties=species:S:1:pos:R:3 pbc="T T T"
Sr 0.0000 4.1111 0.0000
Sc 0.0000 2.1456 4.1198
Sc 2.1181 -0.0080 4.0479
Mn 0.0000 -0.0192 6.3284
Mn 2.1181 2.1344 1.8394
O 0.0000 2.1727 6.1643
O 2.1181 2.1498 3.8980
O 0.0000 2.1678 2.0244
O 2.1181 0.0192 2.0035
O 0.0000 -0.0037 4.2697
O 2.1181 0.0142 6.1433
O 2.1181 2.3429 0.0000
```

=====

[7]
A geometry-optimized Sr3ScMn2O9 structure. Source: Alexandria, functional PBE+U.

VASP energy in eV/atom: -7.0696
Space group: P-3m1, No. 164
Size of the total moment in μB per atom: 0.4579
DOS at the Fermi energy in states/eV per cell: 5.932

Structure (extended XYZ):
```
15
Lattice="5.5745 0.0000 0.0000 -2.7872 4.8276 0.0000 0.0000 0.0000 6.8516" Properties=species:S:1:pos:R:3 pbc="T T T"
Sr 0.0000 3.2184 4.6185
Sr 0.0000 0.0000 0.0000
Sr 2.7872 1.6092 2.2331
Sc 0.0000 0.0000 3.4258
Mn 0.0000 3.2184 1.1377
Mn 2.7872 1.6092 5.7139
O 4.1239 0.8375 4.6409
O 2.7872 3.1527 4.6409
O 1.4506 0.8375 4.6409
O 1.3367 3.9902 2.2106
O 0.0000 1.6750 2.2106
O -1.3367 3.9902 2.2106
O 2.7872 0.0000 0.0000
O -1.3936 2.4138 0.0000
O 1.3936 2.4138 0.0000
```

=====

[8]
A geometry-optimized ScMnTe2O8 structure. Source: Alexandria, functional PBE+U.

VASP energy in eV/atom: -6.3330
Space group: P-3m1, No. 164
Size of the total moment in μB per atom: 0.2624
DOS at the Fermi energy in states/eV per cell: 2.891

Structure (extended XYZ):
```
12
Lattice="-3.7715 -3.6799 3.0352 5.4352 1.3893 2.3465 -2.2726 4.4821 2.6103" Properties=species:S:1:pos:R:3 pbc="T T T"
Sc -1.1363 2.2410 1.3051
Mn 0.0000 0.0000 0.0000
Te -1.1269 -1.1532 3.2931
Te 0.5181 3.3447 4.6989
O 2.0666 0.2906 2.9203
O -0.8341 0.2059 1.8123
O -2.9968 -1.9032 3.5509
O -2.6755 1.9008 5.0717
O 2.3880 4.0947 4.4411
O 0.2252 1.9856 6.1796
O -0.7271 3.2992 3.0948
O 0.1182 -1.1078 4.8971
```

=====

[9]
A geometry-optimized ScMn2TeO6 structure. Source: Alexandria, functional PBE+U.

VASP energy in eV/atom: -7.1435
Space group: P1, No. 1
Size of the total moment in μB per atom: 0.6944
DOS at the Fermi energy in states/eV per cell: 0.000

Structure (extended XYZ):
```
10
Lattice="-1.2720 -5.0938 -1.0117 -0.9830 -3.1790 4.1876 -5.3807 -1.5453 0.8726" Properties=species:S:1:pos:R:3 pbc="T T T"
Sc -4.8120 -7.5959 3.0300
Mn -3.6386 -4.9464 2.0593
Mn -5.0176 -1.6646 0.8284
Te -1.1121 -2.7568 0.9629
O -2.3689 -4.3354 0.5508
O -2.5582 -4.4290 3.7085
O -3.1551 -6.7982 2.0808
O -5.2665 -5.5588 3.1690
O -5.1077 -5.0875 0.5259
O -4.4603 -3.1423 2.2653
```

=====

[10]
A geometry-optimized ScMn2VO6 structure. Source: Alexandria, functional PBE+U.

VASP energy in eV/atom: -7.9293
Space group: P1, No. 1
Size of the total moment in μB per atom: 0.8005

Structure (extended XYZ):
```
10
Lattice="-3.1440 -1.1955 3.8837 1.8754 -2.5454 4.1141 0.6689 2.8647 4.7282" Properties=species:S:1:pos:R:3 pbc="T T T"
Sc -0.6506 -1.3668 9.2021
Mn -0.3970 -0.8067 6.1788
Mn 0.6229 2.7587 4.6618
V -0.3688 -1.1254 2.7729
O -1.3193 -0.5690 4.2834
O 1.3267 -1.9727 5.8199
O -1.7024 -1.9940 7.3059
O 0.6086 -0.1200 8.1499
O -1.5754 1.0647 6.8859
O 0.8967 1.0595 5.7348
```

=====

[11]
A geometry-optimized ScMnWO6 structure. Source: Alexandria, functional PBE+U.

VASP energy in eV/atom: -7.9478
Space group: P4_2nm, No. 102
Size of the total moment in μB per atom: 0.4444

Structure (extended XYZ):
```
18
Lattice="-1.0209 -4.4024 -1.6515 1.8218 -1.9283 4.0141 -8.2656 0.4318 3.9586" Properties=species:S:1:pos:R:3 pbc="T T T"
Sc -1.0104 -3.0917 1.8570
Sc -5.5436 0.2896 2.6550
Mn -3.7463 -2.9487 3.1673
Mn -0.0139 0.0007 0.0067
W -6.5188 -2.8039 4.4951
W -2.7864 0.1456 1.3345
O -2.7438 -2.1881 4.8655
O -4.5062 -3.7220 1.3529
O -7.9100 -1.5363 4.6396
O -7.6057 -3.9420 5.5375
O -0.1032 -2.3128 3.6366
O -1.8945 -3.8718 0.0664
O -5.2798 -1.7056 3.3939
O -4.9836 -4.0471 4.2677
O -7.3713 -3.5317 2.8339
O -5.6969 -2.0745 6.1710
O -2.2367 -4.3200 3.0087
O -2.5659 -1.7180 2.0376
```

=====

[12]
A geometry-optimized YScMnO2 structure. Source: Alexandria, functional PBE+U.

VASP energy in eV/atom: -6.6436
Space group: P4/mmm, No. 123
Size of the total moment in μB per atom: 0.7957
DOS at the Fermi energy in states/eV per cell: 2.790

Structure (extended XYZ):
```
5
Lattice="4.1425 0.0000 0.0000 0.0000 6.1637 0.0000 0.0000 0.0000 4.1425" Properties=species:S:1:pos:R:3 pbc="T T T"
Y 0.0000 3.0819 0.0000
Sc 0.0000 0.0000 0.0000
Mn 2.0713 3.0819 2.0713
O 0.0000 0.0000 2.0713
O 2.0713 0.0000 0.0000
```